[1]
{
  "formula": "ZnTcSn",
  "functional": "GGA-PBE",
  "state": "optimized geometry",
  "e_above_lowest_polymorph_mev_per_atom": 152,
  "space_group": "No. 187",
  "m_tot_mub_per_fu": 0.00,
  "cell": [[-1.933, -0.057, 2.497], [-1.273, -4.035, -1.078], [3.416, 0.575, 2.658]],
  "species": ["Sn", "Tc", "Zn"],
  "fractional_positions": [[0.666, 0.333, 0.667], [0.166, 0.000, 0.000], [0.167, 0.667, 0.333]]
}

[2]
{
  "formula": "ZnTcSn2",
  "functional": "GGA-PBE",
  "state": "optimized geometry",
  "space_group": "No. 123",
  "m_tot_mub_per_fu": 0.00,
  "cell": [[3.529, 0.000, 0.000], [0.000, 3.529, 0.000], [0.000, 0.000, 6.018]],
  "species": ["Sn", "Tc", "Zn", "Sn"],
  "fractional_positions": [[0.000, 0.000, 0.246], [0.500, 0.500, 0.000], [0.500, 0.500, 0.500], [0.000, 0.000, 0.754]]
}

[3]
{
  "formula": "ZnTc3Sn",
  "functional": "GGA-PBE",
  "state": "optimized geometry",
  "e_above_lowest_polymorph_mev_per_atom": 700,
  "space_group": "No. 221",
  "m_tot_mub_per_fu": 5.77,
  "cell": [[4.911, 0.000, 0.000], [0.000, 4.911, 0.000], [0.000, 0.000, 4.911]],
  "species": ["Tc", "Tc", "Sn", "Tc", "Zn"],
  "fractional_positions": [[0.000, 0.500, 0.000], [0.500, 0.000, 0.000], [0.000, 0.000, 0.000], [0.000, 0.000, 0.500], [0.500, 0.500, 0.500]]
}

[4]
{
  "formula": "ZnTcSn",
  "functional": "GGA-PBE",
  "state": "optimized geometry",
  "e_above_lowest_polymorph_mev_per_atom": 0,
  "space_group": "No. 107",
  "m_tot_mub_per_fu": 0.68,
  "cell": [[-3.002, -0.902, 1.257], [1.404, -2.741, 1.386], [1.653, 4.129, 2.376]],
  "species": ["Sn", "Zn", "Tc"],
  "fractional_positions": [[0.946, 0.946, 0.891], [0.629, 0.629, 0.257], [0.276, 0.276, 0.551]]
}

no.,formation energy from the elements (eV per atom)
1,0.30
2,0.19
3,2.08
4,0.15